1.
Below is an optimized crystal structure of AlBSe2, with properties calculated at the PBEsol level.

Cell and atoms, written as POSCAR:
```
AlBSe2
1.0
5.857 0.037 0.058
-2.381 5.351 -0.058
-2.381 -2.279 4.842
B Se Al
2 4 2
direct
0.500 0.250 0.750 B
0.000 0.500 0.500 B
0.400 0.525 0.625 Se
0.600 0.225 0.125 Se
0.100 0.875 0.475 Se
0.900 0.375 0.775 Se
0.000 0.000 0.000 Al
0.500 0.750 0.250 Al
```

Values from the calculation:
space-group type	I-42d (122)
formation energy without anion corrections	54	kJ/mol of formula units

2.
Below is an optimized crystal structure of CuHgW2C, with properties calculated at the PBEsol level.

Cell and atoms, written as POSCAR:
```
CuHgW2C
1.0
-3.063 2.313 -1.341
-1.671 -3.248 -1.785
-2.300 -0.875 3.744
Hg Cu C W
1 1 1 2
direct
0.000 0.000 0.500 Hg
0.500 0.500 0.500 Cu
0.000 0.000 0.000 C
0.500 0.000 0.000 W
0.000 0.500 0.000 W
```

Values from the calculation:
space-group type	P4/mmm (123)
calculated formation energy	20.27	kcal/mol of atoms

3.
Below is an optimized crystal structure of Mg2TaMnO6, with properties calculated at the PBEsol level.

Cell and atoms, written as POSCAR:
```
Mg2TaMnO6
1.0
5.120 0.242 0.000
-0.193 5.328 0.000
0.000 0.000 7.495
Mn Ta O Mg
2 2 12 4
direct
0.500 0.000 0.500 Mn
0.500 0.000 0.000 Mn
0.000 0.500 0.000 Ta
0.000 0.500 0.500 Ta
0.381 0.064 0.750 O
0.826 0.188 0.568 O
0.868 0.436 0.250 O
0.321 0.317 0.434 O
0.321 0.317 0.066 O
0.174 0.812 0.432 O
0.679 0.683 0.934 O
0.826 0.188 0.932 O
0.132 0.564 0.750 O
0.174 0.812 0.068 O
0.679 0.683 0.566 O
0.619 0.936 0.250 O
0.997 0.041 0.250 Mg
0.484 0.570 0.250 Mg
0.516 0.430 0.750 Mg
0.003 0.959 0.750 Mg
```

Values from the calculation:
space-group type	P2_1/m (11)
formation energy without anion corrections	-2360	kJ/mol of formula units

no.,D(E_F) (states/eV/cell),E (eV/cell),calculated density (g/cm3)
1,0.31,-36.5,4.3
2,2.52,-37.8,14.4
3,4.02,-163.4,6.2